Record 1
Density functional theory data (PBE) for a relaxed structure of Rb2CdHgBi.

The space group is P4/mmm (No. 123) and the conventional cell measures 6.755, 6.755 and 5.318 Å, with angles of 90.00, 90.00 and 90.00 degrees. The asymmetric unit holds Rb at (0.000, 0.500, 0.000), Cd at (0.000, 0.000, 0.000), Hg at (0.000, 0.000, 0.500) and Bi at (0.500, 0.500, 0.500).

The value obtained for the total DFT energy (no corrections) is -1.2864 eV/atom. For the offset from the most stable computed form, the calculation gives 1.25 eV/f.u. As for the volume: 242.7 Å³/f.u.

=====

Record 2
Density functional theory data (PBE) for a relaxed structure of La2ZrBr.

The space group is Cmmm (No. 65) and the conventional cell measures 4.633, 5.410 and 9.503 Å, with angles of 90.00, 90.00 and 90.00 degrees. The asymmetric unit holds La at (0.000, 0.000, 0.246), Zr at (0.000, 0.500, 0.000) and Br at (0.000, 0.500, 0.500).

The value obtained for the total DFT energy (no corrections) is -5.4823 eV/atom. The calculation puts the uncorrected formation energy at -44.70 kJ/mol of atoms. For the offset from the most stable computed form, the calculation gives 0.00 eV/f.u. As for the volume: 119.1 Å³/f.u.

=====

Record 3
Density functional theory data (PBE) for a relaxed structure of Y2Zn2W.

The space group is I4/mmm (No. 139) and the conventional cell measures 3.494, 3.494 and 18.621 Å, with angles of 90.00, 90.00 and 90.00 degrees. The asymmetric unit holds Y at (0.000, 0.000, 0.095), Zn at (0.000, 0.500, 0.250) and W at (0.000, 0.000, 0.500).

The value obtained for the total DFT energy (no corrections) is -5.3688 eV/atom. For the offset from the most stable computed form, the calculation gives 0.30 eV/f.u. As for the volume: 113.7 Å³/f.u.

=====

Record 4
Density functional theory data (PBE) for a relaxed structure of LaPrHo2Er.

The space group is Pmmm (No. 47) and the conventional cell measures 3.634, 5.624 and 8.634 Å, with angles of 90.00, 90.00 and 90.00 degrees. The asymmetric unit holds La at (0.000, 0.000, 0.000), Pr at (0.500, 0.000, 0.500), Ho at (0.000, 0.500, 0.317) and Er at (0.500, 0.500, 0.000).

The value obtained for the total DFT energy (no corrections) is -4.4536 eV/atom. As for the volume: 176.5 Å³/f.u.